# 1
An optimized crystal structure of La2HoTh4, computed with GGA-PBE.

Calculated formation energy: 0.059 eV per atom
Spin magnetization: 0.000 μB per cell
E_tot: -43.70 eV per formula unit

Lattice parameters (Å, degrees): 3.5799 3.5870 18.4822 90.00 95.56 90.00
Closest atoms and distances in Å follow each position.
Fractional coordinates of all 7 atoms:
Th1 0.3646 0.0000 0.7293  8 Th 3.51-3.59, 4 La 3.57
Th2 0.9308 0.5000 0.8615  8 Th 3.51-3.59, 4 Ho 3.59
Th3 0.6354 0.0000 0.2707  8 Th 3.51-3.59, 4 La 3.57
Th4 0.0692 0.5000 0.1385  8 Th 3.51-3.59, 4 Ho 3.59
Ho1 0.5000 0.0000 0.0000  4 Ho 3.58-3.59, 8 Th 3.59
La1 0.2036 0.5000 0.4072  4 Th 3.57, 6 La 3.58-3.85
La2 0.7964 0.5000 0.5928  4 Th 3.57, 6 La 3.58-3.85

***

# 2
An optimized crystal structure of La8Ho4Th, computed with GGA-PBE.

Calculated formation energy: 0.189 eV per atom
Spin magnetization: 0.001 μB per cell
E_tot: -62.69 eV per formula unit

Lattice parameters (Å, degrees): 7.2940 7.2939 10.8410 90.00 109.66 120.00
Closest atoms and distances in Å follow each position.
Fractional coordinates of all 13 atoms:
La1 0.4194 0.2097 0.6291  9 La 3.75-3.91
La2 0.9587 0.2034 0.7139  1 Th 3.16, 2 La 3.27, 1 Ho 3.42
La3 0.4895 0.2448 0.2861  1 Th 3.16, 2 La 3.27, 1 Ho 3.42
La4 0.9587 0.7553 0.7139  1 Th 3.16, 2 La 3.27, 1 Ho 3.42
La5 0.0413 0.2447 0.2861  1 Th 3.16, 2 La 3.27, 1 Ho 3.42
La6 0.0413 0.7966 0.2861  1 Th 3.16, 2 La 3.27, 1 Ho 3.42
La7 0.5105 0.7552 0.7139  1 Th 3.16, 2 La 3.27, 1 Ho 3.42
La8 0.5806 0.7903 0.3709  9 La 3.75-3.91
Ho1 0.0000 0.0000 0.0000  6 La 3.42, 6 Ho 3.65
Ho2 0.5000 0.0000 0.0000  4 La 3.62, 6 Ho 3.65
Ho3 0.0000 0.5000 0.0000  4 La 3.62, 6 Ho 3.65
Ho4 0.5000 0.5000 0.0000  4 La 3.62, 6 Ho 3.65
Th1 0.0000 0.5000 0.5000  6 La 3.16

***

# 3
An optimized crystal structure of LaHo8Th4, computed with GGA-PBE.

Calculated formation energy: 0.205 eV per atom
Spin magnetization: 0.000 μB per cell
E_tot: -68.56 eV per formula unit

Lattice parameters (Å, degrees): 7.3544 7.3544 9.8528 90.00 111.91 120.00
Closest atoms and distances in Å follow each position.
Fractional coordinates of all 13 atoms:
Ho1 0.0595 0.8095 0.3094  1 La 2.92, 2 Ho 3.24
Ho2 0.9405 0.1905 0.6906  1 La 2.92, 2 Ho 3.24
Ho3 0.9405 0.7500 0.6906  1 La 2.92, 2 Ho 3.24
Ho4 0.5001 0.7500 0.6906  1 La 2.92, 2 Ho 3.24
Ho5 0.4433 0.2217 0.6650  3 Th 3.66, 9 Ho 3.67-3.69
Ho6 0.0595 0.2500 0.3094  1 La 2.92, 2 Ho 3.24
Ho7 0.4999 0.2500 0.3094  1 La 2.92, 2 Ho 3.24
Ho8 0.5567 0.7783 0.3350  3 Th 3.66, 9 Ho 3.67-3.69
Th1 0.0000 0.5000 0.0000  6 Ho 3.56-3.66, 6 Th 3.68
Th2 0.5000 0.0000 0.0000  6 Ho 3.56-3.66, 6 Th 3.68
Th3 0.0000 0.0000 0.0000  6 Ho 3.33, 6 Th 3.68
Th4 0.5000 0.5000 0.0000  6 Ho 3.56-3.66, 6 Th 3.68
La1 0.0000 0.5000 0.5000  6 Ho 2.92

***

# 4
An optimized crystal structure of La12Ho7Th, computed with GGA-PBE.

Calculated formation energy: 0.190 eV per atom
Spin magnetization: 0.000 μB per cell
Energy above the lowest structure with this stoichiometry: 0.0 meV/atom
E_tot: -94.80 eV per formula unit

Lattice parameters (Å, degrees): 8.8462 8.8462 8.8462 90.07 90.07 90.07
Closest atoms and distances in Å follow each position.
Fractional coordinates of all 20 atoms:
Ho1 0.6273 0.9410 0.8572  3 Ho 3.52-3.54, 1 Th 3.57, 6 La 3.71-3.78
Ho2 0.0590 0.1428 0.3727  3 Ho 3.52-3.54, 1 Th 3.57, 6 La 3.71-3.78
Ho3 0.5000 0.5000 0.5000  6 La 3.30
Ho4 0.3727 0.0590 0.1428  3 Ho 3.52-3.54, 1 Th 3.57, 6 La 3.71-3.78
Ho5 0.1428 0.3727 0.0590  3 Ho 3.52-3.54, 1 Th 3.57, 6 La 3.71-3.78
Ho6 0.9410 0.8572 0.6273  3 Ho 3.52-3.54, 1 Th 3.57, 6 La 3.71-3.78
Ho7 0.8572 0.6273 0.9410  3 Ho 3.52-3.54, 1 Th 3.57, 6 La 3.71-3.78
La1 0.4855 0.6144 0.1450  4 La 3.20-3.45, 1 Ho 3.30
La2 0.7331 0.2787 0.1388  3 La 3.20-3.45
La3 0.1388 0.7331 0.2787  3 La 3.20-3.45
La4 0.2669 0.7213 0.8612  3 La 3.20-3.45
La5 0.1450 0.4855 0.6144  4 La 3.20-3.45, 1 Ho 3.30
La6 0.2787 0.1388 0.7331  3 La 3.20-3.45
La7 0.7213 0.8612 0.2669  3 La 3.20-3.45
La8 0.8612 0.2669 0.7213  3 La 3.20-3.45
La9 0.5145 0.3856 0.8550  4 La 3.20-3.45, 1 Ho 3.30
La10 0.3856 0.8550 0.5145  4 La 3.20-3.45, 1 Ho 3.30
La11 0.8550 0.5145 0.3856  4 La 3.20-3.45, 1 Ho 3.30
La12 0.6144 0.1450 0.4855  4 La 3.20-3.45, 1 Ho 3.30
Th1 0.0000 0.0000 0.0000  6 Ho 3.57, 6 La 3.63

***

# 5
An optimized crystal structure of LaHo8Th2, computed with GGA-PBE.

Calculated formation energy: 0.093 eV per atom
Spin magnetization: 0.000 μB per cell
Energy above the lowest structure with this stoichiometry: 0.0 meV/atom
E_tot: -55.36 eV per formula unit

Lattice parameters (Å, degrees): 6.0020 8.4312 8.5251 104.29 109.46 108.26
Closest atoms and distances in Å follow each position.
Fractional coordinates of all 11 atoms:
Ho1 0.7608 0.4636 0.0885  7 Ho 3.31-3.69, 2 Th 3.48-3.58, 1 La 3.50
Ho2 0.1217 0.9071 0.2067  1 La 3.33, 5 Ho 3.36-3.72, 3 Th 3.37-3.55
Ho3 0.2730 0.3582 0.2660  9 Ho 3.42-3.72, 2 Th 3.51-3.72
Ho4 0.1990 0.7232 0.5371  3 Th 3.41-3.58, 7 Ho 3.42-3.72, 1 La 3.51
Ho5 0.8783 0.0929 0.7933  1 La 3.33, 5 Ho 3.36-3.72, 3 Th 3.37-3.55
Ho6 0.7270 0.6418 0.7340  9 Ho 3.42-3.72, 2 Th 3.51-3.72
Ho7 0.8010 0.2768 0.4629  3 Th 3.41-3.58, 7 Ho 3.42-3.72, 1 La 3.51
Ho8 0.2392 0.5364 0.9115  7 Ho 3.31-3.69, 2 Th 3.48-3.58, 1 La 3.50
Th1 0.6699 0.8098 0.3638  10 Ho 3.37-3.72, 1 Th 3.69
Th2 0.3301 0.1902 0.6362  10 Ho 3.37-3.72, 1 Th 3.69
La1 0.5000 0.0000 0.0000  6 Ho 3.33-3.51

***

# 6
An optimized crystal structure of La2Ho2Th15, computed with GGA-PBE.

Calculated formation energy: 0.293 eV per atom
Spin magnetization: 0.000 μB per cell
E_tot: -124.75 eV per formula unit

Lattice parameters (Å, degrees): 8.7767 8.7767 8.7767 82.17 82.17 82.17
Closest atoms and distances in Å follow each position.
Fractional coordinates of all 19 atoms:
Th1 0.0000 0.6792 0.3208  8 Th 3.39-3.70
Th2 0.5000 0.0000 0.0000  8 Th 3.41, 2 La 3.48
Th3 0.8167 0.3391 0.3391  8 Th 3.18-3.55
Th4 0.6792 0.3208 0.0000  8 Th 3.39-3.70
Th5 0.3391 0.8167 0.3391  8 Th 3.18-3.55
Th6 0.0000 0.5000 0.0000  8 Th 3.41, 2 La 3.48
Th7 0.6609 0.1833 0.6609  8 Th 3.18-3.55
Th8 0.3391 0.3391 0.8167  8 Th 3.18-3.55
Th9 0.3208 0.6792 0.0000  8 Th 3.39-3.70
Th10 0.1833 0.6609 0.6609  8 Th 3.18-3.55
Th11 0.6609 0.6609 0.1833  8 Th 3.18-3.55
Th12 0.0000 0.3208 0.6792  8 Th 3.39-3.70
Th13 0.6792 0.0000 0.3208  8 Th 3.39-3.70
Th14 0.0000 0.0000 0.5000  8 Th 3.41, 2 La 3.48
Th15 0.3208 0.0000 0.6792  8 Th 3.39-3.70
Ho1 0.6349 0.6349 0.6349  12 Th 3.92-3.96
Ho2 0.3651 0.3651 0.3651  12 Th 3.92-3.96
La1 0.8923 0.8923 0.8923  6 Th 3.48-3.62, 1 La 3.69
La2 0.1077 0.1077 0.1077  6 Th 3.48-3.62, 1 La 3.69